i.
Here is a relaxed Tm4MgRh crystal from the Alexandria database. Energies are from PBE.

Cell lengths 11.009, 3.806, 8.835 Å; angles 90.00, 110.80, 90.00 degrees
Space group C2/m (No. 12)
Asymmetric unit:
Tm: 0.118 0.000 0.394 (multiplicity 4)
Tm: 0.163 0.500 0.820 (multiplicity 4)
Mg: 0.000 0.000 0.000 (multiplicity 2)
Rh: 0.000 0.500 0.500 (multiplicity 2)

Summary:
Calculated density (g cm⁻³): 7.7

ii.
Here is a relaxed Tm4MgRh crystal from the Alexandria database. Energies are from PBE.

Cell lengths 13.539, 13.539, 13.539 Å; angles 90.00, 90.00, 90.00 degrees
Space group F-43m (No. 216)
Asymmetric unit:
Tm: 0.000 0.000 0.185 (multiplicity 24)
Tm: 0.062 0.250 0.250 (multiplicity 24)
Tm: 0.097 0.097 0.597 (multiplicity 16)
Mg: 0.170 0.170 0.830 (multiplicity 16)
Rh: 0.108 0.108 0.392 (multiplicity 16)

Summary:
Calculated density (g cm⁻³): 8.6

Which structure is most stable, and how do the rest compare? From most to least stable: ii, i.

i.
Here is a relaxed MgVRh3 crystal from the Alexandria database. Energies are from PBE.

Cell lengths 4.499, 4.499, 4.499 Å; angles 90.00, 90.00, 90.00 degrees
Space group Pm-3m (No. 221)
Asymmetric unit:
Mg: 0.000 0.000 0.000 (multiplicity 1)
V: 0.500 0.500 0.500 (multiplicity 1)
Rh: 0.000 0.500 0.500 (multiplicity 3)

Summary:
Calculated density (g cm⁻³): 7.0

ii.
Here is a relaxed MgVRh3 crystal from the Alexandria database. Energies are from PBE.

Cell lengths 4.437, 4.437, 4.437 Å; angles 90.00, 90.00, 90.00 degrees
Space group Pm-3m (No. 221)
Asymmetric unit:
Mg: 0.000 0.000 0.000 (multiplicity 1)
V: 0.500 0.500 0.500 (multiplicity 1)
Rh: 0.000 0.000 0.500 (multiplicity 3)

Summary:
Calculated density (g cm⁻³): 7.3

Which structure is most stable, and how do the rest compare? From most to least stable: i, ii.

i.
Here is a relaxed Mg2VRh crystal from the Alexandria database. Energies are from PBE.

Cell lengths 6.437, 6.437, 6.437 Å; angles 90.00, 90.00, 90.00 degrees
Space group Fm-3m (No. 225)
Asymmetric unit:
Mg: 0.250 0.250 0.250 (multiplicity 8)
V: 0.000 0.000 0.000 (multiplicity 4)
Rh: 0.000 0.000 0.500 (multiplicity 4)

Summary:
Calculated density (g cm⁻³): 5.0

ii.
Here is a relaxed Mg2VRh crystal from the Alexandria database. Energies are from PBE.

Cell lengths 7.419, 7.419, 5.356 Å; angles 90.00, 90.00, 90.00 degrees
Space group I-42d (No. 122)
Asymmetric unit:
Mg: 0.217 0.750 0.125 (multiplicity 8)
V: 0.000 0.000 0.500 (multiplicity 4)
Rh: 0.000 0.000 0.000 (multiplicity 4)

Summary:
Calculated density (g cm⁻³): 4.6

Which structure is most stable, and how do the rest compare? From most to least stable: i, ii.

i.
Here is a relaxed Mg3VRh crystal from the Alexandria database. Energies are from PBE.

Cell lengths 4.861, 4.861, 4.861 Å; angles 90.00, 90.00, 90.00 degrees
Space group Pm-3m (No. 221)
Asymmetric unit:
Mg: 0.000 0.000 0.500 (multiplicity 3)
V: 0.500 0.500 0.500 (multiplicity 1)
Rh: 0.000 0.000 0.000 (multiplicity 1)

Summary:
Calculated density (g cm⁻³): 3.3

ii.
Here is a relaxed Mg3VRh crystal from the Alexandria database. Energies are from PBE.

Cell lengths 4.923, 4.923, 4.923 Å; angles 90.00, 90.00, 90.00 degrees
Space group Pm-3m (No. 221)
Asymmetric unit:
Mg: 0.000 0.000 0.500 (multiplicity 3)
V: 0.000 0.000 0.000 (multiplicity 1)
Rh: 0.500 0.500 0.500 (multiplicity 1)

Summary:
Calculated density (g cm⁻³): 3.2

Which structure is most stable, and how do the rest compare? From most to least stable: i, ii.

i.
Here is a relaxed Mg2RhW2 crystal from the Alexandria database. Energies are from PBE.

Cell lengths 3.535, 3.535, 15.364 Å; angles 90.00, 90.00, 90.00 degrees
Space group I4/mmm (No. 139)
Asymmetric unit:
Mg: 0.000 0.000 0.090 (multiplicity 4)
Rh: 0.000 0.000 0.500 (multiplicity 2)
W: 0.000 0.500 0.250 (multiplicity 4)

Summary:
Calculated density (g cm⁻³): 9.0

ii.
Here is a relaxed Mg2RhW2 crystal from the Alexandria database. Energies are from PBE.

Cell lengths 7.504, 7.504, 3.086 Å; angles 90.00, 90.00, 90.00 degrees
Space group P4/mbm (No. 127)
Asymmetric unit:
Mg: 0.184 0.316 0.000 (multiplicity 4)
Rh: 0.000 0.000 0.000 (multiplicity 2)
W: 0.111 0.611 0.500 (multiplicity 4)

Summary:
Calculated density (g cm⁻³): 9.9

Which structure is most stable, and how do the rest compare? From most to least stable: i, ii.

i.
Here is a relaxed Mg2RhW crystal from the Alexandria database. Energies are from PBE.

Cell lengths 2.9000, 2.9000, 27.1859 Å; angles 90.00, 90.00, 120.00 degrees
Space group R-3m (No. 166, hexagonal axes)
Asymmetric unit:
Mg: 0.0000 0.0000 0.2444 (multiplicity 6)
Rh: 0.0000 0.0000 0.5000 (multiplicity 3)
W: 0.0000 0.0000 0.0000 (multiplicity 3)

Summary:
Calculated density (g cm⁻³): 8.4

ii.
Here is a relaxed Mg2RhW crystal from the Alexandria database. Energies are from PBE.

Cell lengths 4.510, 4.510, 6.369 Å; angles 90.00, 90.00, 90.00 degrees
Space group I-4m2 (No. 119)
Asymmetric unit:
Mg: 0.000 0.000 0.000 (multiplicity 2)
Mg: 0.000 0.500 0.250 (multiplicity 2)
Rh: 0.000 0.000 0.500 (multiplicity 2)
W: 0.000 0.500 0.750 (multiplicity 2)

Summary:
Calculated density (g cm⁻³): 8.6

Which structure is most stable, and how do the rest compare? From most to least stable: i, ii.